Material: LaW2Au
Method: DFT, GGA-PBE
State: relaxed

Output
E above lowest polymorph: 377 meV per atom
formation energy from the elements: 0.590 eV/atom
V: 20.29 Å³ per atom
energy: -31.75 eV/cell

Cell lengths 6.2269, 6.2269, 6.2269 Å; angles 153.69, 130.28, 57.11 degrees
Last column: nearest neighbours and their distance in Å.
Positions (direct):
La (0.0000, 0.0000, 0.0000)  2 La 2.83, 4 Au 2.98
W (0.2711, 0.7711, 0.5000)  6 W 2.83-3.01, 2 Au 2.88
W (0.7289, 0.2289, 0.5000)  6 W 2.83-3.01, 2 Au 2.88
Au (0.5000, 0.5000, 0.0000)  2 Au 2.83, 4 W 2.88, 4 La 2.98